Here is a relaxed structure of AsWN2O from the Alexandria database. Energies are from GGA+U.

a b c (Å): 4.0537 4.0537 3.8471
angles (deg): 90.00 90.00 90.00
Element x y z (fractional)
O  0.0000  0.0000  0.5000
As  0.5000  0.5000  0.5000
W  0.0000  0.0000  0.0000
N  0.0000  0.5000  0.0000
N  0.5000  0.0000  0.0000

Values from the calculation:
* crystal system: tetragonal
* volume: 63.2 Å³/cell
* energy: -32.2 eV/cell
* SG: P4/mmm, No. 123
* magnetic moment: 0.00 μB/cell